# 1
VASP calculation (PBE) on a relaxed BaYCdIn crystal.

energy of formation = -105.0 kJ/mol of formula units
calculated total energy = -3.28 eV per atom
mass density = 5.81 Mg/m³
SG = F-43m, No. 216
total magnetic moment = 0.0 μB per formula unit

abc: 5.680 5.680 5.680
angles: 60.00 60.00 60.00
Element x y z (fractional)
In  0.000  0.000  0.000
Y  0.750  0.750  0.750
Cd  0.500  0.500  0.500
Ba  0.250  0.250  0.250

=====

# 2
VASP calculation (PBE) on a relaxed Ni3MoPd crystal.

energy of formation = 631.7 kJ/mol of formula units
offset from the most stable computed form = 1234.5 meV/atom
calculated total energy = -5.36 eV per atom
mass density = 7.28 Mg/m³
SG = Pm-3m, No. 221
total magnetic moment = 0.0 μB per formula unit

abc: 4.420 4.420 4.420
angles: 90.00 90.00 90.00
Element x y z (fractional)
Pd  0.500  0.500  0.500
Ni  0.000  0.500  0.000
Ni  0.000  0.000  0.500
Ni  0.500  0.000  0.000
Mo  0.000  0.000  0.000

=====

# 3
VASP calculation (PBE) on a relaxed Y3GaCo8 crystal.

energy of formation = -199.7 kJ/mol of formula units
calculated total energy = -6.78 eV per atom
mass density = 7.60 Mg/m³
SG = R3m, No. 160
total magnetic moment = 8.3 μB per formula unit

abc: 4.995 4.995 8.667
angles: 73.25 73.25 60.00
Site moments in Bohr magnetons follow the coordinates.
Element x y z (fractional)
Co  0.934  0.437  0.192  1.18
Co  0.437  0.934  0.192  1.18
Co  0.437  0.437  0.192  1.18
Co  0.688  0.688  0.935  1.15
Co  0.938  0.938  0.680  1.24
Co  0.938  0.443  0.680  1.24
Co  0.189  0.189  0.433  1.25
Co  0.443  0.938  0.680  1.24
Y  0.994  0.994  0.018  -0.24
Y  0.504  0.504  0.488  -0.23
Y  0.376  0.376  0.872  -0.26
Ga  0.871  0.871  0.386  -0.04

=====

# 4
VASP calculation (PBE) on a relaxed AlCu3Sb4O12 crystal.

E_form (uncorrected) = -0.96 eV/atom
calculated total energy = -5.57 eV per atom
mass density = 6.17 Mg/m³
SG = Im-3, No. 204
total magnetic moment = 1.6 μB per formula unit

abc: 6.792 6.792 6.792
angles: 109.47 109.47 109.47
Site moments in Bohr magnetons follow the coordinates.
Element x y z (fractional)
O  0.175  0.697  0.872  0.04
O  0.825  0.303  0.128  0.04
O  0.522  0.825  0.697  0.04
O  0.872  0.175  0.697  0.04
O  0.128  0.825  0.303  0.04
O  0.697  0.872  0.175  0.04
O  0.303  0.478  0.175  0.04
O  0.697  0.522  0.825  0.04
O  0.303  0.128  0.825  0.04
O  0.478  0.175  0.303  0.04
O  0.825  0.697  0.522  0.04
O  0.175  0.303  0.478  0.04
Cu  0.500  0.500  0.000  0.19
Cu  0.000  0.500  0.500  0.19
Cu  0.500  0.000  0.500  0.19
Sb  0.500  0.000  0.000  0.00
Sb  0.000  0.000  0.500  0.00
Sb  0.000  0.500  0.000  0.00
Sb  0.500  0.500  0.500  0.00
Al  0.000  0.000  0.000  0.28